Entry from Alexandria: a relaxed structure of PrGdMgIr (PBE).

a b c (Å): 5.1524 5.1524 5.1524
angles (deg): 60.00 60.00 60.00
Last column: nearest neighbours and their distance in Å.
Positions (direct):
Pr: 0.0000 0.0000 0.0000  4 Mg 3.16, 4 Ir 3.16
Gd: 0.5000 0.5000 0.5000  4 Mg 3.16, 4 Ir 3.16
Mg: 0.2500 0.2500 0.2500  4 Gd 3.16, 4 Pr 3.16
Ir: 0.7500 0.7500 0.7500  4 Gd 3.16, 4 Pr 3.16

Calculated values
Formation energy: -337 meV/atom
Calculated density: 8.8 g cm⁻³

=====

Entry from Alexandria: a relaxed structure of GdMgIrRu (PBE).

a b c (Å): 4.6568 4.6568 4.6568
angles (deg): 60.00 60.00 60.00
Last column: nearest neighbours and their distance in Å.
Positions (direct):
Gd: 0.0000 0.0000 0.0000  4 Ru 2.85, 4 Ir 2.85
Mg: 0.5000 0.5000 0.5000  4 Ru 2.85, 4 Ir 2.85
Ir: 0.2500 0.2500 0.2500  4 Gd 2.85, 4 Mg 2.85
Ru: 0.7500 0.7500 0.7500  4 Gd 2.85, 4 Mg 2.85

Calculated values
Formation energy: -263 meV/atom
Calculated density: 11.0 g cm⁻³

=====

Entry from Alexandria: a relaxed structure of TbGdMgIr (PBE).

a b c (Å): 5.0583 5.0583 5.0583
angles (deg): 60.00 60.00 60.00
Last column: nearest neighbours and their distance in Å.
Positions (direct):
Tb: 0.0000 0.0000 0.0000  4 Mg 3.10, 4 Ir 3.10
Gd: 0.5000 0.5000 0.5000  4 Mg 3.10, 4 Ir 3.10
Mg: 0.7500 0.7500 0.7500  4 Gd 3.10, 4 Tb 3.10
Ir: 0.2500 0.2500 0.2500  4 Gd 3.10, 4 Tb 3.10

Calculated values
Formation energy: -423 meV/atom
Calculated density: 9.7 g cm⁻³

=====

Entry from Alexandria: a relaxed structure of GdMgTlIr (PBE).

a b c (Å): 4.9461 4.9461 4.9461
angles (deg): 60.00 60.00 60.00
Last column: nearest neighbours and their distance in Å.
Positions (direct):
Gd: 0.0000 0.0000 0.0000  4 Tl 3.03, 4 Ir 3.03
Mg: 0.5000 0.5000 0.5000  4 Tl 3.03, 4 Ir 3.03
Tl: 0.7500 0.7500 0.7500  4 Gd 3.03, 4 Mg 3.03
Ir: 0.2500 0.2500 0.2500  4 Gd 3.03, 4 Mg 3.03

Calculated values
Formation energy: -276 meV/atom
Calculated density: 11.2 g cm⁻³

=====

Entry from Alexandria: a relaxed structure of GdTmMgIr (PBE).

a b c (Å): 5.0134 5.0134 5.0134
angles (deg): 60.00 60.00 60.00
Last column: nearest neighbours and their distance in Å.
Positions (direct):
Gd: 0.0000 0.0000 0.0000  4 Mg 3.07, 4 Ir 3.07
Tm: 0.5000 0.5000 0.5000  4 Mg 3.07, 4 Ir 3.07
Mg: 0.2500 0.2500 0.2500  4 Gd 3.07, 4 Tm 3.07
Ir: 0.7500 0.7500 0.7500  4 Gd 3.07, 4 Tm 3.07

Calculated values
Formation energy: -455 meV/atom
Calculated density: 10.1 g cm⁻³

=====

Entry from Alexandria: a relaxed structure of Gd2MnIr (PBE).

a b c (Å): 4.8808 4.8808 3.6051
angles (deg): 90.00 90.00 90.00
Last column: nearest neighbours and their distance in Å.
Positions (direct):
Gd: 0.0000 0.5000 0.0000  4 Mn 3.03, 4 Ir 3.03
Gd: 0.5000 0.0000 0.0000  4 Mn 3.03, 4 Ir 3.03
Mn: 0.0000 0.0000 0.5000  8 Gd 3.03
Ir: 0.5000 0.5000 0.5000  8 Gd 3.03

Calculated values
Formation energy: -236 meV/atom
Calculated density: 10.9 g cm⁻³

=====

Entry from Alexandria: a relaxed structure of GdPuMnIr (PBE).

a b c (Å): 4.9293 4.9293 4.9293
angles (deg): 60.00 60.00 60.00
Last column: nearest neighbours and their distance in Å.
Positions (direct):
Gd: 0.0000 0.0000 0.0000  4 Mn 3.02, 4 Ir 3.02
Pu: 0.5000 0.5000 0.5000  4 Mn 3.02, 4 Ir 3.02
Mn: 0.7500 0.7500 0.7500  4 Gd 3.02, 4 Pu 3.02
Ir: 0.2500 0.2500 0.2500  4 Gd 3.02, 4 Pu 3.02

Calculated values
Formation energy: -1 meV/atom
Calculated density: 12.7 g cm⁻³

=====

Entry from Alexandria: a relaxed structure of GdTmMnIr (PBE).

a b c (Å): 4.9006 4.9006 4.9006
angles (deg): 60.00 60.00 60.00
Last column: nearest neighbours and their distance in Å.
Positions (direct):
Gd: 0.0000 0.0000 0.0000  4 Mn 3.00, 4 Ir 3.00
Tm: 0.5000 0.5000 0.5000  4 Mn 3.00, 4 Ir 3.00
Mn: 0.7500 0.7500 0.7500  4 Gd 3.00, 4 Tm 3.00
Ir: 0.2500 0.2500 0.2500  4 Gd 3.00, 4 Tm 3.00

Calculated values
Formation energy: -292 meV/atom
Calculated density: 11.4 g cm⁻³

=====

Q: Which value of formation energy does entry 3 give?
A: -423 meV/atom